Record 1
Density functional theory data (PBE) for a geometry-optimized Nd2Sb3Pd structure.

abc: 9.6190 9.6190 16.5406
angles: 90.00 90.00 90.00
Site moments in Bohr magnetons follow the coordinates.
Atoms (fractional coordinates):
Sb: 0.5000 0.5000 0.3316  0.01
Sb: 0.5000 0.5000 0.6684  0.01
Sb: 0.5000 0.5000 0.5000  0.36
Nd: 0.5000 0.5000 0.8405  0.25
Nd: 0.5000 0.5000 0.1595  0.25
Pd: 0.5000 0.5000 0.0000  0.01

Calculated values
Total moment ... 0.346 μB per atom
Energy relative to the elements, uncorrected ... 7.9 eV per formula unit
Space-group type ... P4/mmm


Record 2
Density functional theory data (PBE) for a geometry-optimized ErAgS2 structure.

abc: 7.5888 7.5875 12.5595
angles: 90.00 90.00 90.00
Atoms (fractional coordinates):
Er: 0.2516 0.5003 0.2533
Er: 0.5022 0.7486 0.0032
Er: 0.7540 0.0003 0.2468
Er: 0.0035 0.7514 0.5032
Er: 0.7516 0.4997 0.7467
Er: 0.5035 0.2486 0.4968
Er: 0.2540 0.9997 0.7532
Er: 0.0022 0.2514 0.9968
S: 0.0213 0.2685 0.7788
S: 0.7753 0.0219 0.4648
S: 0.7337 0.5190 0.5287
S: 0.7300 0.4778 0.9647
S: 0.5213 0.7315 0.2212
S: 0.0258 0.7735 0.2850
S: 0.2300 0.5222 0.0353
S: 0.7715 0.9813 0.0287
S: 0.9800 0.2734 0.2150
S: 0.2715 0.0187 0.9713
S: 0.4844 0.2317 0.2789
S: 0.2753 0.9781 0.5352
S: 0.5258 0.2265 0.7150
S: 0.9844 0.7683 0.7211
S: 0.4800 0.7266 0.7850
S: 0.2337 0.4810 0.4713
Ag: 0.5167 0.2306 0.9339
Ag: 0.2694 0.9901 0.3168
Ag: 0.9873 0.2702 0.4340
Ag: 0.4873 0.7298 0.5660
Ag: 0.7694 0.0099 0.6832
Ag: 0.2364 0.5102 0.8169
Ag: 0.0167 0.7694 0.0661
Ag: 0.7364 0.4898 0.1831

Calculated values
Total moment ... 0.000 μB per atom
Energy relative to the elements, uncorrected ... -5.3 eV per formula unit
Space-group type ... P2_1


Record 3
Density functional theory data (PBE) for a geometry-optimized HfTaTc4 structure.

abc: 5.1977 5.1977 5.1977
angles: 60.00 60.00 60.00
Atoms (fractional coordinates):
Tc: 0.6249 0.6249 0.1252
Tc: 0.6249 0.1252 0.6249
Tc: 0.6249 0.6249 0.6249
Tc: 0.1252 0.6249 0.6249
Hf: 0.2500 0.2500 0.2500
Ta: 0.0000 0.0000 0.0000

Calculated values
Total moment ... 0.000 μB per atom
E_form ... -0.21 eV per atom
Space-group type ... F-43m


Record 4
Density functional theory data (PBE) for a geometry-optimized NpTcPd structure.

abc: 3.3839 3.3839 5.3034
angles: 108.60 108.60 90.00
Site moments in Bohr magnetons follow the coordinates.
Atoms (fractional coordinates):
Pd: 0.9988 0.9988 0.9977  -0.09
Tc: 0.3134 0.3134 0.6268  -0.66
Np: 0.6877 0.6877 0.3755  2.84

Calculated values
Total moment ... 0.723 μB per atom
E_form ... 0.12 eV per atom
Space-group type ... I4mm


Record 5
Density functional theory data (PBE) for a geometry-optimized BaCe2RuO8 structure.

abc: 5.2242 5.2008 6.9767
angles: 68.42 93.50 98.04
Site moments in Bohr magnetons follow the coordinates.
Atoms (fractional coordinates):
Ce: 0.4684 0.6322 0.2248  0.06
Ce: 0.5316 0.3678 0.7752  0.06
Ru: 0.0000 0.0000 0.0000  1.19
O: 0.2320 0.2648 0.0791  0.07
O: 0.4972 0.2713 0.4778  0.00
O: 0.5028 0.7287 0.5222  0.00
O: 0.0528 0.6883 0.2610  0.09
O: 0.7680 0.7352 0.9209  0.07
O: 0.2924 0.9188 0.8835  0.09
O: 0.9472 0.3117 0.7390  0.09
O: 0.7076 0.0812 0.1165  0.09
Ba: 0.0000 0.0000 0.5000  0.01

Calculated values
Total moment ... 0.168 μB per atom
Energy relative to the elements, uncorrected ... -27.9 eV per formula unit
Space-group type ... P-1


Record 6
Density functional theory data (PBE) for a geometry-optimized Sm3Er2Tm6Mg structure.

abc: 6.0895 6.0895 11.5914
angles: 95.05 95.05 120.02
Atoms (fractional coordinates):
Sm: 0.8345 0.1655 0.5000
Sm: 0.1655 0.8345 0.5000
Sm: 0.5000 0.5000 0.5000
Mg: 0.0000 0.0000 0.0000
Tm: 0.7477 0.7477 0.2461
Tm: 0.9192 0.5863 0.7545
Tm: 0.0808 0.4137 0.2455
Tm: 0.4137 0.0808 0.2455
Tm: 0.2523 0.2523 0.7539
Tm: 0.5863 0.9192 0.7545
Er: 0.6664 0.3336 0.0000
Er: 0.3336 0.6664 0.0000

Calculated values
Total moment ... 0.000 μB per atom
E_form ... 0.04 eV per atom
Space-group type ... C2/m


Record 7
Density functional theory data (PBE) for a geometry-optimized TcIrRuRh structure.

abc: 2.6994 4.2352 5.2374
angles: 90.00 104.98 90.00
Atoms (fractional coordinates):
Ir: 0.6026 0.0000 0.1369
Ru: 0.0073 0.5000 0.9472
Tc: 0.3478 0.0000 0.6248
Rh: 0.7501 0.5000 0.4303

Calculated values
Total moment ... 0.000 μB per atom
E_form ... 0.03 eV per atom
Space-group type ... Amm2


Record 8
Density functional theory data (PBE) for a geometry-optimized ReB2Pd structure.

abc: 3.8958 3.8958 3.8958
angles: 60.00 60.00 60.00
Atoms (fractional coordinates):
Pd: 0.0000 0.0000 0.0000
B: 0.2500 0.2500 0.2500
B: 0.7500 0.7500 0.7500
Re: 0.5000 0.5000 0.5000

Calculated values
Total moment ... 0.000 μB per atom
E_form ... 0.41 eV per atom
Space-group type ... Fm-3m


Record 9
Density functional theory data (PBE) for a geometry-optimized SrBeSiAs2 structure.

abc: 5.1647 4.1915 5.1647
angles: 90.00 90.00 90.00
Atoms (fractional coordinates):
As: 0.0000 0.0000 0.5000
As: 0.5000 0.0000 0.0000
Si: 0.0000 0.0000 0.0000
Sr: 0.5000 0.5000 0.5000
Be: 0.0000 0.5000 0.0000

Calculated values
Total moment ... 0.000 μB per atom
Energy relative to the elements, uncorrected ... 0.2 eV per formula unit
Space-group type ... P4/mmm


Record 10
Density functional theory data (PBE) for a geometry-optimized Tb2Sm6Er structure.

abc: 6.0521 7.6378 7.6378
angles: 60.01 90.03 90.03
Atoms (fractional coordinates):
Sm: 0.7141 0.1881 0.1881
Sm: 0.2859 0.8119 0.8119
Sm: 0.2871 0.8121 0.3780
Sm: 0.2871 0.3780 0.8121
Sm: 0.7129 0.1879 0.6220
Sm: 0.7129 0.6220 0.1879
Tb: 0.7831 0.6665 0.6665
Tb: 0.2169 0.3335 0.3335
Er: 0.0000 0.0000 0.0000

Calculated values
Total moment ... 0.000 μB per atom
E_form ... 0.21 eV per atom
Space-group type ... C2/m


Record 11
Density functional theory data (PBE) for a geometry-optimized CaPmPtRh structure.

abc: 4.9549 4.9549 4.9549
angles: 60.00 60.00 60.00
Atoms (fractional coordinates):
Rh: 0.7500 0.7500 0.7500
Ca: 0.5000 0.5000 0.5000
Pm: 0.0000 0.0000 0.0000
Pt: 0.2500 0.2500 0.2500

Calculated values
Total moment ... 0.000 μB per atom
E_form ... -0.77 eV per atom
Space-group type ... F-43m


Record 12
Density functional theory data (PBE) for a geometry-optimized TiBi2Os structure.

abc: 4.8943 4.8943 4.8943
angles: 60.00 60.00 60.00
Site moments in Bohr magnetons follow the coordinates.
Atoms (fractional coordinates):
Bi: 0.2500 0.2500 0.2500  0.02
Bi: 0.7500 0.7500 0.7500  0.02
Os: 0.5000 0.5000 0.5000  0.34
Ti: 0.0000 0.0000 0.0000  1.36

Calculated values
Total moment ... 0.517 μB per atom
E_form ... 0.51 eV per atom
Space-group type ... Fm-3m


Number 1: total DFT energy (no corrections) -19.17 eV/cell. Number 2: total DFT energy (no corrections) -167.61 eV/cell. Number 3: total DFT energy (no corrections) -64.52 eV/cell. Number 4: total DFT energy (no corrections) -28.13 eV/cell. Number 5: total DFT energy (no corrections) -90.67 eV/cell. Number 6: total DFT energy (no corrections) -51.27 eV/cell. Number 7: total DFT energy (no corrections) -35.73 eV/cell. Number 8: total DFT energy (no corrections) -29.34 eV/cell. Number 9: total DFT energy (no corrections) -19.96 eV/cell. Number 10: total DFT energy (no corrections) -40.22 eV/cell. Number 11: total DFT energy (no corrections) -23.21 eV/cell. Number 12: total DFT energy (no corrections) -24.83 eV/cell.